1.
# Pm2AlGe4Ir3 (PBE, relaxed)
data_Pm2AlGe4Ir3
_chemical_formula_sum 'Pm2 Al1 Ge4 Ir3'
_cell_length_a 4.2366
_cell_length_b 4.2366
_cell_length_c 10.4922
_cell_angle_alpha 90.00
_cell_angle_beta 90.00
_cell_angle_gamma 90.00
_symmetry_space_group_name_H-M 'P 1'
_symmetry_Int_Tables_number 1
loop_
_symmetry_equiv_pos_as_xyz
'x,y,z'
loop_
_atom_site_label
_atom_site_fract_x
_atom_site_fract_y
_atom_site_fract_z
_atom_site_occupancy
Pm1 0.0000 0.5000 0.2420 1
Pm2 0.5000 0.0000 0.7580 1
Al1 0.0000 0.0000 0.5000 1
Ge1 0.0000 0.0000 0.0000 1
Ge2 0.0000 0.5000 0.6436 1
Ge3 0.5000 0.0000 0.3564 1
Ge4 0.5000 0.5000 0.0000 1
Ir1 0.0000 0.5000 0.8763 1
Ir2 0.5000 0.0000 0.1237 1
Ir3 0.5000 0.5000 0.5000 1
# - VASP energy: -65.33 eV/cell
# - Calculated formation energy: -0.703 eV/atom

***

2.
# ZnAgP2 (PBE, relaxed)
data_ZnAgP2
_chemical_formula_sum 'Zn1 Ag1 P2'
_cell_length_a 3.4429
_cell_length_b 3.9973
_cell_length_c 4.7676
_cell_angle_alpha 90.00
_cell_angle_beta 90.00
_cell_angle_gamma 90.00
_symmetry_space_group_name_H-M 'P 1'
_symmetry_Int_Tables_number 1
loop_
_symmetry_equiv_pos_as_xyz
'x,y,z'
loop_
_atom_site_label
_atom_site_fract_x
_atom_site_fract_y
_atom_site_fract_z
_atom_site_occupancy
Zn1 0.0000 0.0000 0.0000 1
Ag1 0.5000 0.5000 0.0000 1
P1 0.0000 0.5000 0.5000 1
P2 0.5000 0.0000 0.5000 1
# - VASP energy: -13.16 eV/cell
# - Calculated formation energy: 0.446 eV/atom

***

Which formula does entry 2 have? ZnAgP2

***

Look up the calculated formation energy of the first one. -0.703 eV/atom

***

Among the records above, which one has the highest VASP energy? ZnAgP2

***

The highest VASP energy belongs to which entry? ZnAgP2